Computed, not measured: a geometry-optimized Ba2LaNi structure at the PBE-GGA level of DFT.

Cell and atoms, written as extended XYZ:
```
4
Lattice="-2.110 1.513 -6.457 -6.723 0.698 -1.660 4.580 2.166 4.772" Properties=species:S:1:pos:R:3 pbc="T T T"
Ba -4.416 1.105 -4.058
La -3.280 1.985 -0.473
Ba 0.000 0.000 0.000
Ni -0.973 2.392 -2.872
```

Calculated volume   137.1 Å³/cell
Final energy   -12.787 eV/cell

---

Computed, not measured: a geometry-optimized Ba2LaNi structure at the PBE-GGA level of DFT.

Cell and atoms, written as extended XYZ:
```
4
Lattice="7.241 0.001 -0.047 6.156 3.812 -0.047 2.946 0.838 5.714" Properties=species:S:1:pos:R:3 pbc="T T T"
Ni 3.875 1.103 1.596
Ba 12.309 3.503 4.157
Ba 12.667 3.605 0.284
La 9.062 2.579 2.297
```

Calculated volume   158.2 Å³/cell
Final energy   -14.363 eV/cell

---

Computed, not measured: a geometry-optimized BaLa2Ni2 structure at the PBE-GGA level of DFT.

Cell and atoms, written as extended XYZ:
```
5
Lattice="5.215 0.000 0.000 0.000 5.215 0.000 2.607 2.607 5.827" Properties=species:S:1:pos:R:3 pbc="T T T"
Ni 2.607 5.215 2.914
Ni 5.215 2.607 2.914
Ba 0.000 0.000 0.000
La 2.607 2.607 2.052
La 5.215 5.215 3.775
```

Calculated volume   158.5 Å³/cell
Final energy   -23.362 eV/cell

---

Computed, not measured: a geometry-optimized BaLaNi4 structure at the PBE-GGA level of DFT.

Cell and atoms, written as extended XYZ:
```
6
Lattice="0.000 3.746 3.746 3.746 0.000 3.746 3.746 3.746 0.000" Properties=species:S:1:pos:R:3 pbc="T T T"
Ni 4.693 4.693 2.799
Ba 5.619 5.619 5.619
Ni 4.693 2.799 4.693
Ni 2.799 4.693 4.693
La 0.000 0.000 0.000
Ni 2.799 2.799 2.799
```

Calculated volume   105.2 Å³/cell
Final energy   -30.301 eV/cell

---

Computed, not measured: a geometry-optimized BaLa3Ni structure at the PBE-GGA level of DFT.

Cell and atoms, written as extended XYZ:
```
5
Lattice="5.846 0.000 0.000 0.000 5.846 0.000 0.000 0.000 5.846" Properties=species:S:1:pos:R:3 pbc="T T T"
Ni 2.923 2.923 2.923
La 2.923 0.000 0.000
La 0.000 2.923 0.000
Ba 0.000 0.000 0.000
La 0.000 0.000 2.923
```

Calculated volume   199.8 Å³/cell
Final energy   -16.225 eV/cell

---

Computed, not measured: a geometry-optimized Ba2LaNi structure at the PBE-GGA level of DFT.

Cell and atoms, written as extended XYZ:
```
4
Lattice="-1.752 -1.440 3.079 -2.101 -2.264 -2.255 7.349 -7.493 0.678" Properties=species:S:1:pos:R:3 pbc="T T T"
Ba 6.771 -6.903 0.624
La 4.346 -4.431 0.401
Ba 0.114 -3.932 0.600
Ni 3.290 -7.170 0.893
```

Calculated volume   153.8 Å³/cell
Final energy   -14.488 eV/cell

---

Computed, not measured: a geometry-optimized Ba2LaNi2 structure at the PBE-GGA level of DFT.

Cell and atoms, written as extended XYZ:
```
10
Lattice="7.663 0.000 0.000 0.000 7.663 0.000 0.000 0.000 5.100" Properties=species:S:1:pos:R:3 pbc="T T T"
Ni 0.847 2.985 0.000
Ba 6.360 2.529 2.550
La 3.832 3.832 0.000
La 0.000 0.000 0.000
Ba 1.303 5.135 2.550
Ni 2.985 6.816 0.000
Ni 4.678 0.847 0.000
Ba 2.529 1.303 2.550
Ba 5.135 6.360 2.550
Ni 6.816 4.678 0.000
```

Calculated volume   299.5 Å³/cell
Final energy   -39.852 eV/cell

---

Computed, not measured: a geometry-optimized Ba4LaNi structure at the PBE-GGA level of DFT.

Cell and atoms, written as extended XYZ:
```
6
Lattice="0.000 5.218 5.218 5.218 0.000 5.218 5.218 5.218 0.000" Properties=species:S:1:pos:R:3 pbc="T T T"
Ba 3.910 6.526 6.526
Ba 6.526 3.910 6.526
La 7.827 7.827 7.827
Ba 6.526 6.526 3.910
Ni 0.000 0.000 0.000
Ba 3.910 3.910 3.910
```

Calculated volume   284.1 Å³/cell
Final energy   -13.396 eV/cell

---

> The highest final energy belongs to which entry?

number 1